A plane-wave DFT calculation with PBE-GGA was carried out for a relaxed CdCu3Ru crystal. Values from VASP.

Calculated values
energy relative to the lowest polymorph listed for this composition: 0 meV/atom
E_form: 1.108 eV/atom
crystal system: cubic
total magnetization: 1.930 Bohr magnetons per cell
electronic total energy: -3.388 eV/atom
N(E_F): 7.34 states/eV/cell

The structure in Quantum ESPRESSO input format:
```
&SYSTEM
  ibrav = 0, nat = 5, ntyp = 3
/
ATOMIC_SPECIES
Cd 112.41 Cd.upf
Cu 63.55 Cu.upf
Ru 101.07 Ru.upf
CELL_PARAMETERS angstrom
4.660 0.000 0.000
0.000 4.660 0.000
0.000 0.000 4.660
ATOMIC_POSITIONS crystal
Cd 0.000 0.000 0.000
Cu 0.000 0.500 0.500
Cu 0.500 0.000 0.500
Cu 0.500 0.500 0.000
Ru 0.500 0.500 0.500
```


A plane-wave DFT calculation with PBE-GGA was carried out for a relaxed Cd4CuRu crystal. Values from VASP.

Calculated values
E_form: 0.583 eV/atom
crystal system: cubic
total magnetization: 1.209 Bohr magnetons per cell
electronic total energy: -2.256 eV/atom
N(E_F): 5.15 states/eV/cell

The structure in Quantum ESPRESSO input format:
```
&SYSTEM
  ibrav = 0, nat = 6, ntyp = 3
/
ATOMIC_SPECIES
Cd 112.41 Cd.upf
Cu 63.55 Cu.upf
Ru 101.07 Ru.upf
CELL_PARAMETERS angstrom
0.000 3.889 3.889
3.889 0.000 3.889
3.889 3.889 0.000
ATOMIC_POSITIONS crystal
Cd 0.125 0.125 0.125
Cd 0.125 0.125 0.625
Cd 0.125 0.625 0.125
Cd 0.625 0.125 0.125
Cu 0.750 0.750 0.750
Ru 0.500 0.500 0.500
```


A plane-wave DFT calculation with PBE-GGA was carried out for a relaxed ScCdCuRu crystal. Values from VASP.

Calculated values
E_form: -0.110 eV/atom
crystal system: cubic
total magnetization: 0.000 Bohr magnetons per cell
electronic total energy: -5.265 eV/atom
N(E_F): 1.11 states/eV/cell

The structure in Quantum ESPRESSO input format:
```
&SYSTEM
  ibrav = 0, nat = 4, ntyp = 4
/
ATOMIC_SPECIES
Sc 44.96 Sc.upf
Cd 112.41 Cd.upf
Cu 63.55 Cu.upf
Ru 101.07 Ru.upf
CELL_PARAMETERS angstrom
0.000 3.223 3.223
3.223 0.000 3.223
3.223 3.223 0.000
ATOMIC_POSITIONS crystal
Sc 0.000 0.000 0.000
Cd 0.500 0.500 0.500
Cu 0.750 0.750 0.750
Ru 0.250 0.250 0.250
```


A plane-wave DFT calculation with PBE-GGA was carried out for a relaxed TbCdCuRu crystal. Values from VASP.

Calculated values
E_form: -0.034 eV/atom
crystal system: cubic
total magnetization: 0.000 Bohr magnetons per cell
electronic total energy: -4.763 eV/atom
N(E_F): 1.30 states/eV/cell

The structure in Quantum ESPRESSO input format:
```
&SYSTEM
  ibrav = 0, nat = 4, ntyp = 4
/
ATOMIC_SPECIES
Tb 158.93 Tb.upf
Cd 112.41 Cd.upf
Cu 63.55 Cu.upf
Ru 101.07 Ru.upf
CELL_PARAMETERS angstrom
0.000 3.336 3.336
3.336 0.000 3.336
3.336 3.336 0.000
ATOMIC_POSITIONS crystal
Tb 0.000 0.000 0.000
Cd 0.500 0.500 0.500
Cu 0.750 0.750 0.750
Ru 0.250 0.250 0.250
```


A plane-wave DFT calculation with PBE-GGA was carried out for a relaxed Tb4CdCu2Ru crystal. Values from VASP.

Calculated values
E_form: -0.295 eV/atom
crystal system: trigonal
total magnetization: 0.000 Bohr magnetons per cell
electronic total energy: -4.908 eV/atom
N(E_F): 5.42 states/eV/cell

The structure in Quantum ESPRESSO input format:
```
&SYSTEM
  ibrav = 0, nat = 8, ntyp = 4
/
ATOMIC_SPECIES
Tb 158.93 Tb.upf
Cd 112.41 Cd.upf
Cu 63.55 Cu.upf
Ru 101.07 Ru.upf
CELL_PARAMETERS angstrom
2.512 1.451 8.133
-2.512 1.451 8.133
0.000 -2.901 8.133
ATOMIC_POSITIONS crystal
Tb 0.116 0.116 0.116
Tb 0.368 0.368 0.368
Tb 0.632 0.632 0.632
Tb 0.884 0.884 0.884
Cd 0.500 0.500 0.500
Cu 0.243 0.243 0.243
Cu 0.757 0.757 0.757
Ru 0.000 0.000 0.000
```


A plane-wave DFT calculation with PBE-GGA was carried out for a relaxed TlCd2CuRu crystal. Values from VASP.

Calculated values
E_form: 1.423 eV/atom
crystal system: tetragonal
total magnetization: 2.447 Bohr magnetons per cell
electronic total energy: -2.091 eV/atom
N(E_F): 3.95 states/eV/cell

The structure in Quantum ESPRESSO input format:
```
&SYSTEM
  ibrav = 0, nat = 5, ntyp = 4
/
ATOMIC_SPECIES
Tl 204.38 Tl.upf
Cd 112.41 Cd.upf
Cu 63.55 Cu.upf
Ru 101.07 Ru.upf
CELL_PARAMETERS angstrom
5.362 0.000 0.000
0.000 5.362 0.000
0.000 0.000 4.830
ATOMIC_POSITIONS crystal
Tl 0.000 0.000 0.000
Cd 0.000 0.500 0.000
Cd 0.500 0.000 0.000
Cu 0.000 0.000 0.500
Ru 0.500 0.500 0.500
```


A plane-wave DFT calculation with PBE-GGA was carried out for a relaxed Tm4CdCu2Ru crystal. Values from VASP.

Calculated values
E_form: -0.342 eV/atom
crystal system: trigonal
total magnetization: 0.000 Bohr magnetons per cell
electronic total energy: -4.875 eV/atom
N(E_F): 5.75 states/eV/cell

The structure in Quantum ESPRESSO input format:
```
&SYSTEM
  ibrav = 0, nat = 8, ntyp = 4
/
ATOMIC_SPECIES
Tm 168.93 Tm.upf
Cd 112.41 Cd.upf
Cu 63.55 Cu.upf
Ru 101.07 Ru.upf
CELL_PARAMETERS angstrom
2.464 1.422 8.015
-2.464 1.422 8.015
0.000 -2.845 8.015
ATOMIC_POSITIONS crystal
Tm 0.117 0.117 0.117
Tm 0.368 0.368 0.368
Tm 0.632 0.632 0.632
Tm 0.883 0.883 0.883
Cd 0.500 0.500 0.500
Cu 0.245 0.245 0.245
Cu 0.755 0.755 0.755
Ru 0.000 0.000 0.000
```


A plane-wave DFT calculation with PBE-GGA was carried out for a relaxed Y4CdCuRu2 crystal. Values from VASP.

Calculated values
E_form: -0.300 eV/atom
crystal system: trigonal
total magnetization: 0.000 Bohr magnetons per cell
electronic total energy: -6.477 eV/atom
N(E_F): 6.58 states/eV/cell

The structure in Quantum ESPRESSO input format:
```
&SYSTEM
  ibrav = 0, nat = 8, ntyp = 4
/
ATOMIC_SPECIES
Y 88.91 Y.upf
Cd 112.41 Cd.upf
Cu 63.55 Cu.upf
Ru 101.07 Ru.upf
CELL_PARAMETERS angstrom
2.480 1.432 8.114
-2.480 1.432 8.114
0.000 -2.864 8.114
ATOMIC_POSITIONS crystal
Y 0.120 0.120 0.120
Y 0.371 0.371 0.371
Y 0.629 0.629 0.629
Y 0.880 0.880 0.880
Cd 0.500 0.500 0.500
Cu 0.000 0.000 0.000
Ru 0.249 0.249 0.249
Ru 0.751 0.751 0.751
```